1.
# GdDy2Co | Alexandria | PBE-GGA | optimized geometry
# Total magnetic moment   1.8601 μB/atom
# Total energy   -7.30 eV per atom
# Volume   285 Å³ per cell
data_GdDy2Co
_space_group_name_H-M_alt 'R -3 m'
_space_group_IT_number 166
_space_group_name_Hall '-R 3 2"'
_cell_length_a 5.1279
_cell_length_b 5.1279
_cell_length_c 12.5344
_cell_angle_alpha 90.00
_cell_angle_beta 90.00
_cell_angle_gamma 120.00
loop_
_atom_site_label
_atom_site_type_symbol
_atom_site_fract_x
_atom_site_fract_y
_atom_site_fract_z
Gd1 Gd 0.0000 0.0000 0.0000
Dy1 Dy 0.0000 0.0000 0.2502
Co1 Co 0.0000 0.0000 0.5000



2.
# HgTeRu2 | Alexandria | PBE-GGA | optimized geometry
# Total magnetic moment   0.0000 μB/atom
# Total energy   -5.07 eV per atom
# Volume   218 Å³ per cell
# Raw formation energy   1.72 eV per formula unit
data_HgTeRu2
_space_group_name_H-M_alt 'R -3 m'
_space_group_IT_number 166
_space_group_name_Hall '-R 3 2"'
_cell_length_a 3.1929
_cell_length_b 3.1929
_cell_length_c 24.6972
_cell_angle_alpha 90.00
_cell_angle_beta 90.00
_cell_angle_gamma 120.00
loop_
_atom_site_label
_atom_site_type_symbol
_atom_site_fract_x
_atom_site_fract_y
_atom_site_fract_z
Hg1 Hg 0.0000 0.0000 0.0000
Te1 Te 0.0000 0.0000 0.5000
Ru1 Ru 0.0000 0.0000 0.2429



3.
# PmZnAg | Alexandria | PBE-GGA | optimized geometry
# Total magnetic moment   0.0003 μB/atom
# Total energy   -3.04 eV per atom
# Volume   307 Å³ per cell
data_PmZnAg
_space_group_name_H-M_alt 'F -4 3 m'
_space_group_IT_number 216
_space_group_name_Hall 'F -4 2 3'
_cell_length_a 6.7449
_cell_length_b 6.7449
_cell_length_c 6.7449
_cell_angle_alpha 90.00
_cell_angle_beta 90.00
_cell_angle_gamma 90.00
loop_
_atom_site_label
_atom_site_type_symbol
_atom_site_fract_x
_atom_site_fract_y
_atom_site_fract_z
Pm1 Pm 0.0000 0.0000 0.0000
Zn1 Zn 0.0000 0.0000 0.5000
Ag1 Ag 0.2500 0.2500 0.7500



4.
# Ca2Pm2In3 | Alexandria | PBE-GGA | optimized geometry
# Total magnetic moment   0.0000 μB/atom
# Total energy   -3.48 eV per atom
# Volume   429 Å³ per cell
data_Ca2Pm2In3
_space_group_name_H-M_alt 'C m m m'
_space_group_IT_number 65
_space_group_name_Hall '-C 2 2'
_cell_length_a 3.6798
_cell_length_b 32.8536
_cell_length_c 3.5455
_cell_angle_alpha 90.00
_cell_angle_beta 90.00
_cell_angle_gamma 90.00
loop_
_atom_site_label
_atom_site_type_symbol
_atom_site_fract_x
_atom_site_fract_y
_atom_site_fract_z
Ca1 Ca 0.0000 0.1972 0.0000
Pm1 Pm 0.0000 0.0665 0.0000
In1 In 0.0000 0.3667 0.5000
In2 In 0.0000 0.5000 0.5000



5.
# VCr2H4 | Alexandria | PBE-GGA | optimized geometry
# Total magnetic moment   0.0522 μB/atom
# Total energy   -5.93 eV per atom
# Volume   198 Å³ per cell
data_VCr2H4
_space_group_name_H-M_alt 'I 41/a m d'
_space_group_IT_number 141
_cell_length_a 5.1964
_cell_length_b 5.1964
_cell_length_c 7.3379
_cell_angle_alpha 90.00
_cell_angle_beta 90.00
_cell_angle_gamma 90.00
loop_
_space_group_symop_operation_xyz
'x,y,z'
'-x,-y,-z'
'-y+1/4,x+3/4,z+1/4'
'y+1/4,-x+3/4,-z+1/4'
'-x+1/2,-y,z+1/2'
'x+1/2,y,-z+1/2'
'y+1/4,-x+1/4,z+3/4'
'-y+1/4,x+1/4,-z+3/4'
'x,-y,-z'
'-x,y,z'
'-y+1/4,-x+1/4,-z+3/4'
'y+1/4,x+1/4,z+3/4'
'-x+1/2,y,-z+1/2'
'x+1/2,-y,z+1/2'
'y+1/4,x+3/4,-z+1/4'
'-y+1/4,-x+3/4,z+1/4'
'x+1/2,y+1/2,z+1/2'
'-x+1/2,-y+1/2,-z+1/2'
'-y+3/4,x+1/4,z+3/4'
'y+3/4,-x+1/4,-z+3/4'
'-x,-y+1/2,z'
'x,y+1/2,-z'
'y+3/4,-x+3/4,z+1/4'
'-y+3/4,x+3/4,-z+1/4'
'x+1/2,-y+1/2,-z+1/2'
'-x+1/2,y+1/2,z+1/2'
'-y+3/4,-x+3/4,-z+1/4'
'y+3/4,x+3/4,z+1/4'
'-x,y+1/2,-z'
'x,-y+1/2,z'
'y+3/4,x+1/4,-z+3/4'
'-y+3/4,-x+1/4,z+3/4'
loop_
_atom_site_label
_atom_site_type_symbol
_atom_site_fract_x
_atom_site_fract_y
_atom_site_fract_z
V1 V 0.0000 0.2500 0.3750
Cr1 Cr 0.0000 0.0000 0.0000
H1 H 0.0000 0.0264 0.7628



6.
# Pm3HoSc2S6 | Alexandria | PBE-GGA | optimized geometry
# Total magnetic moment   0.0000 μB/atom
# Total energy   -6.65 eV per atom
# Volume   502 Å³ per cell
# Raw formation energy   -23.49 eV per formula unit
data_Pm3HoSc2S6
_space_group_name_H-M_alt 'C 1 2/m 1'
_space_group_IT_number 12
_space_group_name_Hall '-C 2y'
_cell_length_a 6.6839
_cell_length_b 11.6184
_cell_length_c 6.8458
_cell_angle_alpha 90.00
_cell_angle_beta 109.10
_cell_angle_gamma 90.00
loop_
_atom_site_label
_atom_site_type_symbol
_atom_site_fract_x
_atom_site_fract_y
_atom_site_fract_z
Pm1 Pm 0.0000 0.0000 0.0000
Pm2 Pm 0.0000 0.3362 0.0000
Ho1 Ho 0.0000 0.5000 0.5000
Sc1 Sc 0.0000 0.1665 0.5000
S1 S 0.2329 0.0000 0.7246
S2 S 0.2465 0.3292 0.7276